[1]
Ho2ScPd: optimized geometry, PBE.

Cell and atoms, written as POSCAR:
```
Ho2ScPd
1.0
3.567 0.000 0.000
0.000 3.567 0.000
0.000 0.000 7.701
Ho Sc Pd
2 1 1
direct
0.000 0.000 0.216
0.000 0.000 0.784
0.500 0.500 0.500
0.500 0.500 0.000
```

Summary:
**Energy above the most stable polymorph in this dataset**: 31.4 meV/atom
**Calculated density**: 8.2 g/cm3
**Calculated formation energy**: -407.4 meV per atom
**Total magnetic moment**: 0.00 μB/cell



[2]
ZrAlPt: optimized geometry, PBE.

Cell and atoms, written as POSCAR:
```
ZrAlPt
1.0
3.005 0.000 0.000
-1.503 2.603 0.000
0.000 0.000 6.843
Zr Al Pt
1 1 1
direct
0.000 0.000 0.000
0.333 0.667 0.360
0.667 0.333 0.652
```

Summary:
**Calculated density**: 9.7 g/cm3
**Calculated formation energy**: -475.0 meV per atom
**Total magnetic moment**: 0.00 μB/cell



[3]
Cd8Hg5Bi: optimized geometry, PBE.

Cell and atoms, written as POSCAR:
```
Cd8Hg5Bi
1.0
-4.425 4.425 4.531
4.425 -4.425 4.531
4.425 4.425 -4.531
Cd Hg Bi
8 5 1
direct
0.055 0.126 0.761
0.231 0.473 0.587
0.356 0.769 0.241
0.365 0.294 0.239
0.527 0.115 0.759
0.706 0.945 0.071
0.874 0.635 0.929
0.885 0.644 0.413
0.138 0.017 0.382
0.244 0.862 0.879
0.500 0.500 0.000
0.635 0.756 0.618
0.983 0.365 0.121
0.750 0.250 0.500
```

Summary:
**Calculated density**: 9.9 g/cm3
**Calculated formation energy**: 32.7 meV per atom
**Total magnetic moment**: 0.00 μB/cell



[4]
PrHoSi3: optimized geometry, PBE.

Cell and atoms, written as POSCAR:
```
PrHoSi3
1.0
2.139 -12.343 0.000
2.139 12.343 0.000
0.000 0.000 3.970
Pr Ho Si
2 2 6
direct
0.071 0.929 0.750
0.929 0.071 0.250
0.203 0.797 0.250
0.797 0.203 0.750
0.321 0.679 0.250
0.379 0.621 0.750
0.475 0.525 0.750
0.525 0.475 0.250
0.621 0.379 0.250
0.679 0.321 0.750
```

Summary:
**Calculated density**: 6.2 g/cm3
**Total energy**: -5.82 eV per atom
**Total magnetic moment**: 0.00 μB/cell



[5]
ScTl3Si: optimized geometry, PBE.

Cell and atoms, written as POSCAR:
```
ScTl3Si
1.0
5.296 0.000 0.000
0.000 5.296 0.000
0.000 0.000 5.296
Sc Tl Si
1 3 1
direct
0.000 0.000 0.000
0.000 0.500 0.500
0.500 0.000 0.500
0.500 0.500 0.000
0.500 0.500 0.500
```

Summary:
**Energy above the most stable polymorph in this dataset**: 0.0 meV/atom
**Calculated density**: 7.7 g/cm3
**Total magnetic moment**: 0.00 μB/cell



[6]
Ce2ErSc3Se6: optimized geometry, PBE.

Cell and atoms, written as POSCAR:
```
Ce2ErSc3Se6
1.0
3.457 -5.994 0.000
3.457 5.994 0.000
-2.314 0.000 6.606
Ce Er Sc Se
2 1 3 6
direct
0.167 0.833 0.000
0.833 0.167 0.000
0.500 0.500 0.000
0.000 0.000 0.500
0.333 0.667 0.500
0.667 0.333 0.500
0.084 0.410 0.729
0.265 0.265 0.271
0.410 0.084 0.729
0.590 0.916 0.271
0.735 0.735 0.729
0.916 0.590 0.271
```

Summary:
**Calculated density**: 6.4 g/cm3
**Total energy**: -6.37 eV per atom
**Total magnetic moment**: 1.89 μB/cell



[7]
Sr2CuNi3Sn4: optimized geometry, PBE.

Cell and atoms, written as POSCAR:
```
Sr2CuNi3Sn4
1.0
4.513 0.000 0.000
0.000 4.513 0.000
0.000 0.000 10.573
Sr Cu Ni Sn
2 1 3 4
direct
0.000 0.500 0.244
0.500 0.000 0.756
0.500 0.500 0.000
0.000 0.000 0.000
0.000 0.500 0.627
0.500 0.000 0.373
0.000 0.000 0.500
0.000 0.500 0.874
0.500 0.000 0.126
0.500 0.500 0.500
```

Summary:
**Calculated density**: 6.9 g/cm3
**Calculated formation energy**: -392.5 meV per atom
**Total magnetic moment**: 0.00 μB/cell



[8]
HoNpPb2S6: optimized geometry, PBE.

Cell and atoms, written as POSCAR:
```
HoNpPb2S6
1.0
6.905 0.000 0.000
0.000 7.364 0.000
-6.786 0.000 10.062
Ho Np Pb S
2 2 4 12
direct
0.000 0.000 0.000
0.000 0.500 0.500
0.500 0.000 0.500
0.500 0.500 0.000
0.219 0.075 0.744
0.219 0.425 0.244
0.781 0.575 0.756
0.781 0.925 0.256
0.135 0.188 0.442
0.135 0.312 0.942
0.254 0.700 0.436
0.254 0.800 0.936
0.377 0.036 0.255
0.377 0.464 0.755
0.623 0.536 0.245
0.623 0.964 0.745
0.746 0.200 0.064
0.746 0.300 0.564
0.865 0.688 0.058
0.865 0.812 0.558
```

Summary:
**Calculated density**: 6.5 g/cm3
**Total energy**: -6.04 eV per atom
**Total magnetic moment**: 4.00 μB/cell



[9]
La2CePmY6: optimized geometry, PBE.

Cell and atoms, written as POSCAR:
```
La2CePmY6
1.0
5.805 -3.374 0.000
5.805 3.374 0.000
-3.065 0.000 8.674
La Ce Pm Y
2 1 1 6
direct
0.081 0.081 0.168
0.919 0.919 0.832
0.500 0.500 0.000
0.000 0.000 0.500
0.065 0.576 0.196
0.369 0.369 0.579
0.424 0.935 0.804
0.576 0.065 0.196
0.631 0.631 0.421
0.935 0.424 0.804
```

Summary:
**Calculated density**: 5.4 g/cm3
**Calculated formation energy**: 227.5 meV per atom
**Total magnetic moment**: 0.74 μB/cell



[10]
Pa2Ni2Pd: optimized geometry, PBE.

Cell and atoms, written as POSCAR:
```
Pa2Ni2Pd
1.0
7.199 0.000 0.000
0.000 7.199 0.000
0.000 0.000 3.567
Pa Ni Pd
4 4 2
direct
0.176 0.324 0.000
0.324 0.824 0.000
0.676 0.176 0.000
0.824 0.676 0.000
0.126 0.626 0.500
0.374 0.126 0.500
0.626 0.874 0.500
0.874 0.374 0.500
0.000 0.000 0.500
0.500 0.500 0.500
```

Summary:
**Energy above the most stable polymorph in this dataset**: 0.0 meV/atom
**Calculated density**: 12.3 g/cm3
**Calculated formation energy**: -465.7 meV per atom
**Total magnetic moment**: 0.00 μB/cell



[11]
SrZn2Si: optimized geometry, PBE.

Cell and atoms, written as POSCAR:
```
SrZn2Si
1.0
3.682 -2.117 0.000
3.682 2.117 0.000
-2.420 0.000 5.740
Sr Zn Si
1 2 1
direct
0.000 0.000 0.000
0.211 0.211 0.634
0.789 0.789 0.366
0.500 0.500 0.500
```

Summary:
**Calculated density**: 4.6 g/cm3
**Total energy**: -2.57 eV per atom
**Total magnetic moment**: 0.00 μB/cell



[12]
Dy2SnIr: optimized geometry, PBE.

Cell and atoms, written as POSCAR:
```
Dy2SnIr
1.0
0.000 3.597 3.597
3.597 0.000 3.597
3.597 3.597 0.000
Dy Sn Ir
2 1 1
direct
0.250 0.250 0.250
0.750 0.750 0.750
0.000 0.000 0.000
0.500 0.500 0.500
```

Summary:
**Energy above the most stable polymorph in this dataset**: 195.6 meV/atom
**Calculated density**: 11.3 g/cm3
**Calculated formation energy**: -606.3 meV per atom
**Total magnetic moment**: 0.00 μB/cell



[13]
Cr2HgGe2: optimized geometry, PBE.

Cell and atoms, written as POSCAR:
```
Cr2HgGe2
1.0
7.528 0.000 0.000
0.000 7.528 0.000
0.000 0.000 2.877
Cr Hg Ge
4 2 4
direct
0.144 0.356 0.000
0.356 0.856 0.000
0.644 0.144 0.000
0.856 0.644 0.000
0.000 0.000 0.500
0.500 0.500 0.500
0.149 0.649 0.500
0.351 0.149 0.500
0.649 0.851 0.500
0.851 0.351 0.500
```

Summary:
**Energy above the most stable polymorph in this dataset**: 0.0 meV/atom
**Calculated density**: 9.2 g/cm3
**Calculated formation energy**: 289.1 meV per atom
**Total magnetic moment**: 9.67 μB/cell



[14]
LaDy12Y5: optimized geometry, PBE.

Cell and atoms, written as POSCAR:
```
LaDy12Y5
1.0
7.553 -7.563 0.000
7.553 7.563 0.000
0.000 0.000 5.039
La Dy Y
1 12 5
direct
0.000 0.000 0.000
0.001 0.336 0.000
0.167 0.499 0.500
0.169 0.169 0.500
0.333 0.333 0.000
0.336 0.001 0.000
0.499 0.167 0.500
0.501 0.833 0.500
0.664 0.999 0.000
0.667 0.667 0.000
0.831 0.831 0.500
0.833 0.501 0.500
0.999 0.664 0.000
0.168 0.832 0.500
0.334 0.666 0.000
0.500 0.500 0.500
0.666 0.334 0.000
0.832 0.168 0.500
```

Summary:
**Calculated density**: 7.3 g/cm3
**Calculated formation energy**: 23.8 meV per atom
**Total magnetic moment**: 0.00 μB/cell



[15]
KSiSe: optimized geometry, PBE.

Cell and atoms, written as POSCAR:
```
KSiSe
1.0
0.000 3.599 3.599
3.599 0.000 3.599
3.599 3.599 0.000
K Si Se
1 1 1
direct
0.000 0.000 0.000
0.750 0.750 0.750
0.250 0.250 0.250
```

Summary:
**Energy above the most stable polymorph in this dataset**: 785.2 meV/atom
**Calculated density**: 2.6 g/cm3
**Total magnetic moment**: 1.00 μB/cell